Here is a relaxed TaCuW2 crystal from the Alexandria database. Energies are from PBE.

energy relative to the elements = 0.255 eV/atom
ρ = 16.212 Mg/m³
total energy = -10.209 eV/atom
symmetry = No. 123
N(E_F) = 3.199 states/eV/cell

Lattice parameters (Å, degrees): 3.280 3.280 5.829 90.00 90.00 90.00
Positions (direct):
Cu: 0.500 0.500 0.250
Ta: 0.500 0.500 0.750
W: 0.000 0.000 0.482
W: 0.000 0.000 0.018

Here is a relaxed TaCuW2 crystal from the Alexandria database. Energies are from PBE.

energy relative to the elements = 0.142 eV/atom
ρ = 16.181 Mg/m³
total energy = -10.322 eV/atom
symmetry = No. 99
N(E_F) = 1.394 states/eV/cell

Lattice parameters (Å, degrees): 3.248 3.248 5.956 90.00 90.00 90.00
Positions (direct):
W: 0.500 0.500 0.254
W: 0.000 0.000 0.008
Ta: 0.500 0.500 0.740
Cu: 0.000 0.000 0.498

Here is a relaxed Ta3CuW crystal from the Alexandria database. Energies are from PBE.

energy relative to the elements = 1.380 eV/atom
ρ = 13.635 Mg/m³
total energy = -9.141 eV/atom
symmetry = No. 221
N(E_F) = 3.856 states/eV/cell

Lattice parameters (Å, degrees): 4.583 4.583 4.583 90.00 90.00 90.00
Positions (direct):
Ta: 0.500 0.000 0.000
Ta: 0.000 0.000 0.500
Ta: 0.000 0.500 0.000
Cu: 0.000 0.000 0.000
W: 0.500 0.500 0.500

Here is a relaxed TaCu4W crystal from the Alexandria database. Energies are from PBE.

energy relative to the elements = 0.205 eV/atom
ρ = 12.788 Mg/m³
total energy = -6.660 eV/atom
symmetry = No. 216
N(E_F) = 9.208 states/eV/cell

Lattice parameters (Å, degrees): 4.844 4.844 4.844 60.00 60.00 60.00
Positions (direct):
W: 0.000 0.000 0.000
Cu: 0.375 0.375 0.875
Cu: 0.875 0.375 0.375
Cu: 0.375 0.875 0.375
Cu: 0.375 0.375 0.375
Ta: 0.750 0.750 0.750